# 1
SrCaLa | PBE | optimized geometry

Output
E above lowest polymorph: 80 meV per atom
calculated formation energy: 0.11 eV per atom
energy: -2.76 eV per atom
total moment: 0.1 μB per cell

a b c (Å): 4.308 6.271 19.300
angles (deg): 90.00 90.00 90.00
Space group Fmm2 (No. 42)
Unique sites:
Sr  0.000  0.000  0.000 (multiplicity 4)
Ca  0.000  0.000  0.674 (multiplicity 4)
La  0.000  0.000  0.332 (multiplicity 4)

=====

# 2
Co2RuCl | PBE | optimized geometry

Output
energy relative to the elements, uncorrected: 850 meV/atom
E above lowest polymorph: 499 meV per atom
energy: -5.48 eV per atom
total moment: 0.0 μB per cell

a b c (Å): 5.653 5.653 8.310
angles (deg): 90.00 90.00 90.00
Space group I-42d (No. 122)
Unique sites:
Co  0.249  0.250  0.125 (multiplicity 8)
Ru  0.000  0.000  0.000 (multiplicity 4)
Cl  0.000  0.000  0.500 (multiplicity 4)

=====

# 3
BeCrTc | PBE | optimized geometry

Output
E above lowest polymorph: 91 meV per atom
calculated formation energy: -0.03 eV per atom
energy: -7.93 eV per atom
total moment: 0.0 μB per cell

a b c (Å): 4.0283 4.0283 2.5320
angles (deg): 90.00 90.00 120.00
Space group P3m1 (No. 156)
Unique sites:
Be  0.0000  0.0000  0.0000 (multiplicity 1)
Cr  0.3333  0.6667  0.6631 (multiplicity 1)
Tc  0.6667  0.3333  0.3878 (multiplicity 1)

=====

# 4
Re2Os | PBE | optimized geometry

Output
E above lowest polymorph: 5 meV per atom
calculated formation energy: -0.07 eV per atom
energy: -12.11 eV per atom
total moment: 0.0 μB per cell

a b c (Å): 8.323 4.804 5.213
angles (deg): 90.00 122.06 90.00
Space group C2/c (No. 15)
Unique sites:
Re  0.165  0.084  0.241 (multiplicity 8)
Os  0.000  0.419  0.750 (multiplicity 4)

=====

# 5
Nd2YTl2Cd2 | PBE | optimized geometry

Output
calculated formation energy: -0.18 eV per atom
energy: -3.40 eV per atom
total moment: 0.0 μB per cell

a b c (Å): 5.0055 5.0055 27.9598
angles (deg): 90.00 90.00 120.00
Space group R-3m (No. 166, hexagonal axes)
Unique sites:
Nd  0.0000  0.0000  0.1264 (multiplicity 6)
Y  0.0000  0.0000  0.0000 (multiplicity 3)
Tl  0.0000  0.0000  0.2599 (multiplicity 6)
Cd  0.0000  0.0000  0.3888 (multiplicity 6)

=====

# 6
UNbS4 | PBE | optimized geometry

Output
energy relative to the elements, uncorrected: -1036 meV/atom
E above lowest polymorph: 99 meV per atom
energy: -7.35 eV per atom
total moment: 6.1 μB per cell

a b c (Å): 7.423 5.993 7.202
angles (deg): 90.00 118.62 90.00
Space group P2_1/c (No. 14)
Unique sites:
U  0.000  0.000  0.000 (multiplicity 2)
Nb  0.500  0.000  0.500 (multiplicity 2)
S  0.187  0.226  0.356 (multiplicity 4)
S  0.350  0.728  0.670 (multiplicity 4)

=====

# 7
RbCa3Ir | PBE | optimized geometry

Output
E above lowest polymorph: 1808 meV per atom
calculated formation energy: 1.70 eV per atom
energy: -1.47 eV per atom
total moment: 1.4 μB per cell

a b c (Å): 5.391 5.391 5.391
angles (deg): 90.00 90.00 90.00
Space group Pm-3m (No. 221)
Unique sites:
Rb  0.000  0.000  0.000 (multiplicity 1)
Ca  0.000  0.000  0.500 (multiplicity 3)
Ir  0.500  0.500  0.500 (multiplicity 1)

=====

# 8
Tm5ThPb5 | PBE | optimized geometry

Output
calculated formation energy: -0.18 eV per atom
energy: -4.57 eV per atom
total moment: 0.0 μB per cell

a b c (Å): 15.397 6.282 7.444
angles (deg): 90.00 102.93 90.00
Space group C2/m (No. 12)
Unique sites:
Tm  0.000  0.000  0.000 (multiplicity 2)
Tm  0.149  0.500  0.846 (multiplicity 4)
Tm  0.167  0.500  0.343 (multiplicity 4)
Th  0.000  0.000  0.500 (multiplicity 2)
Pb  0.000  0.500  0.500 (multiplicity 2)
Pb  0.172  0.000  0.849 (multiplicity 4)
Pb  0.173  0.000  0.309 (multiplicity 4)

=====

# 9
BaZr2W | PBE | optimized geometry

Output
E above lowest polymorph: 387 meV per atom
calculated formation energy: 0.73 eV per atom
energy: -7.26 eV per atom
total moment: 0.0 μB per cell

a b c (Å): 3.566 5.058 10.977
angles (deg): 90.00 90.00 90.00
Space group Cmm2 (No. 35)
Unique sites:
Ba  0.000  0.000  0.000 (multiplicity 2)
Zr  0.000  0.000  0.551 (multiplicity 2)
Zr  0.000  0.500  0.315 (multiplicity 2)
W  0.000  0.500  0.743 (multiplicity 2)

=====

# 10
Pu2PbN2 | PBE | optimized geometry

Output
energy relative to the elements, uncorrected: -938 meV/atom
energy: -10.74 eV per atom
total moment: 8.4 μB per cell

a b c (Å): 3.7733 3.7733 8.2795
angles (deg): 90.00 90.00 120.00
Space group P-3m1 (No. 164)
Unique sites:
Pu  0.3333  0.6667  0.3336 (multiplicity 2)
Pb  0.0000  0.0000  0.0000 (multiplicity 1)
N  0.3333  0.6667  0.6067 (multiplicity 2)

=====

# 11
HfCoN2Cl | PBE | optimized geometry

Output
energy relative to the elements, uncorrected: 2058 meV/atom
energy: -5.05 eV per atom
total moment: 1.6 μB per cell

a b c (Å): 3.875 3.875 4.756
angles (deg): 90.00 90.00 90.00
Space group P4/mmm (No. 123)
Unique sites:
Hf  0.000  0.000  0.000 (multiplicity 1)
Co  0.500  0.500  0.000 (multiplicity 1)
N  0.000  0.500  0.500 (multiplicity 2)
Cl  0.000  0.000  0.500 (multiplicity 1)

=====

# 12
ZrBi2BBr | PBE | optimized geometry

Output
energy relative to the elements, uncorrected: 1302 meV/atom
energy: -3.63 eV per atom
total moment: 0.5 μB per cell

a b c (Å): 5.627 5.627 4.201
angles (deg): 90.00 90.00 90.00
Space group P4/mmm (No. 123)
Unique sites:
Zr  0.000  0.000  0.000 (multiplicity 1)
Bi  0.000  0.500  0.500 (multiplicity 2)
B  0.500  0.500  0.000 (multiplicity 1)
Br  0.500  0.500  0.500 (multiplicity 1)